# KSrCuS2

A relaxed KSrCuS2 crystal (PBE, Alexandria).

Lattice parameters (Å, degrees): 5.038 8.356 8.624 118.98 90.00 90.00
Sites, in units of the cell vectors:
S: 0.742 0.613 0.225
Cu: 0.000 0.000 0.000
S: 0.742 0.887 0.775
K: 0.230 0.750 0.500
Sr: 0.500 0.750 0.000
K: 0.770 0.250 0.500
Sr: 0.500 0.250 0.000
Cu: 0.000 0.500 0.000
S: 0.258 0.387 0.775
S: 0.258 0.113 0.225

Results
VASP energy: -4.190 eV per atom
symmetry: Cmme
magnetization: 0.0 μB per formula unit
raw formation energy: -1.16 eV per atom



# KTaCuS4

A relaxed KTaCuS4 crystal (PBE, Alexandria).

Lattice parameters (Å, degrees): 5.654 7.365 9.521 90.00 103.55 90.00
Sites, in units of the cell vectors:
S: 0.701 0.250 0.926
K: 0.652 0.750 0.835
S: 0.119 0.003 0.734
Cu: 0.368 0.250 0.728
S: 0.545 0.250 0.536
Ta: 0.872 0.250 0.730
S: 0.119 0.497 0.734
K: 0.348 0.250 0.165
S: 0.881 0.503 0.266
S: 0.299 0.750 0.074
Ta: 0.128 0.750 0.270
S: 0.881 0.997 0.266
S: 0.455 0.750 0.464
Cu: 0.632 0.750 0.272

Results
VASP energy: -5.587 eV per atom
symmetry: P2_1/m
magnetization: 0.0 μB per formula unit
raw formation energy: -0.79 eV per atom



# K2Ta2CuS6

A relaxed K2Ta2CuS6 crystal (PBE, Alexandria).

Lattice parameters (Å, degrees): 6.242 6.242 7.587 97.14 97.14 117.51
Sites, in units of the cell vectors:
S: 0.323 0.323 0.277
S: 0.677 0.677 0.723
Ta: 0.652 0.348 0.500
Ta: 0.348 0.652 0.500
S: 0.615 0.951 0.329
K: 0.177 0.823 0.000
S: 0.385 0.049 0.671
K: 0.823 0.177 0.000
Cu: 0.000 0.000 0.500
S: 0.951 0.615 0.329
S: 0.049 0.385 0.671

Results
VASP energy: -5.903 eV per atom
symmetry: C2/m
magnetization: 1.0 μB per formula unit
raw formation energy: -0.93 eV per atom



# K2TaCu2S6

A relaxed K2TaCu2S6 crystal (PBE, Alexandria).

Lattice parameters (Å, degrees): 6.956 6.956 7.758 63.36 63.36 60.00
Sites, in units of the cell vectors:
Ta: 0.000 0.000 0.000
S: 0.231 0.766 0.237
Cu: 0.404 0.404 0.789
S: 0.766 0.766 0.237
S: 0.234 0.769 0.763
S: 0.769 0.234 0.763
K: 0.777 0.777 0.669
S: 0.234 0.234 0.763
K: 0.223 0.223 0.331
Cu: 0.596 0.596 0.211
S: 0.766 0.231 0.237

Results
VASP energy: -4.868 eV per atom
symmetry: R-3m
magnetization: 0.0 μB per formula unit
raw formation energy: -0.59 eV per atom



# K2TaCuS4

A relaxed K2TaCuS4 crystal (PBE, Alexandria).

Lattice parameters (Å, degrees): 5.553 7.276 12.109 84.98 76.75 67.57
Sites, in units of the cell vectors:
S: 0.211 0.199 0.891
K: 0.178 0.000 0.644
S: 0.591 0.199 0.109
Cu: 0.750 0.500 0.500
S: 0.899 0.801 0.891
S: 0.300 0.801 0.109
K: 0.928 0.500 0.144
Ta: 0.250 0.500 0.500
S: 0.851 0.699 0.609
Ta: 0.500 0.000 0.000
S: 0.539 0.301 0.609
Cu: 0.000 0.000 0.000
K: 0.572 0.500 0.856
K: 0.822 0.000 0.356
S: 0.450 0.699 0.391
S: 0.159 0.301 0.391

Results
VASP energy: -5.411 eV per atom
symmetry: Fddd
magnetization: 0.0 μB per formula unit
raw formation energy: -1.08 eV per atom



# K3Ta2Cu3S8

A relaxed K3Ta2Cu3S8 crystal (PBE, Alexandria).

Lattice parameters (Å, degrees): 12.387 12.387 14.399 62.51 62.51 26.07
Sites, in units of the cell vectors:
Ta: 0.415 0.829 0.225
S: 0.028 0.146 0.632
Ta: 0.829 0.415 0.725
S: 0.256 0.339 0.882
K: 0.000 0.000 0.000
Cu: 0.711 0.289 0.750
Cu: 0.911 0.326 0.225
S: 0.511 0.567 0.840
Cu: 0.326 0.911 0.725
K: 0.647 0.755 0.898
S: 0.890 0.804 0.181
Cu: 0.089 0.674 0.775
S: 0.804 0.890 0.681
S: 0.972 0.854 0.368
S: 0.196 0.110 0.319
K: 0.245 0.353 0.602
S: 0.661 0.744 0.618
Ta: 0.585 0.171 0.775
Cu: 0.289 0.711 0.250
S: 0.433 0.489 0.660
K: 0.353 0.245 0.102
Cu: 0.674 0.089 0.275
S: 0.339 0.256 0.382
S: 0.110 0.196 0.819
S: 0.146 0.028 0.132
Ta: 0.171 0.585 0.275
S: 0.489 0.433 0.160
S: 0.744 0.661 0.118
K: 0.000 0.000 0.500
S: 0.854 0.972 0.868
S: 0.567 0.511 0.340
K: 0.755 0.647 0.398

Results
VASP energy: -5.507 eV per atom
symmetry: C2/c
magnetization: 0.0 μB per formula unit
raw formation energy: -0.99 eV per atom



# KTbCuS2

A relaxed KTbCuS2 crystal (PBE, Alexandria).

Lattice parameters (Å, degrees): 4.621 7.412 7.857 100.15 90.00 90.00
Sites, in units of the cell vectors:
S: 0.684 0.232 0.536
S: 0.316 0.232 0.036
Tb: 0.492 0.000 0.250
S: 0.684 0.768 0.964
Cu: 0.000 0.000 0.000
Tb: 0.508 0.000 0.750
K: 0.168 0.500 0.750
Cu: 0.000 0.000 0.500
S: 0.316 0.768 0.464
K: 0.832 0.500 0.250

Results
VASP energy: -4.718 eV per atom
symmetry: P2/c
magnetization: 0.0 μB per formula unit
raw formation energy: -1.10 eV per atom



# KTb2Cu2S4

A relaxed KTb2Cu2S4 crystal (PBE, Alexandria).

Lattice parameters (Å, degrees): 3.647 7.649 7.447 115.72 90.00 103.79
Sites, in units of the cell vectors:
Cu: 0.692 0.385 0.029
Cu: 0.308 0.615 0.971
Tb: 0.127 0.253 0.558
S: 0.459 0.918 0.274
K: 0.000 0.000 0.000
S: 0.541 0.082 0.726
S: 0.783 0.565 0.735
S: 0.217 0.435 0.265
Tb: 0.873 0.747 0.442

Results
VASP energy: -5.047 eV per atom
symmetry: C2/m
magnetization: 0.0 μB per formula unit
raw formation energy: -1.15 eV per atom



# K2CuTe2S6

A relaxed K2CuTe2S6 crystal (PBE, Alexandria).

Lattice parameters (Å, degrees): 6.718 6.718 7.962 98.26 98.26 121.33
Sites, in units of the cell vectors:
K: 0.163 0.837 0.000
S: 0.399 0.064 0.696
Te: 0.670 0.330 0.500
Cu: 0.000 0.000 0.500
S: 0.769 0.769 0.674
Te: 0.330 0.670 0.500
S: 0.936 0.601 0.304
S: 0.231 0.231 0.326
S: 0.064 0.399 0.696
S: 0.601 0.936 0.304
K: 0.837 0.163 0.000

Results
VASP energy: -3.720 eV per atom
symmetry: C2/m
magnetization: 1.0 μB per formula unit
raw formation energy: -0.33 eV per atom



# KCu4TeS2

A relaxed KCu4TeS2 crystal (PBE, Alexandria).

Lattice parameters (Å, degrees): 3.888 3.888 10.231 90.00 90.00 90.00
Sites, in units of the cell vectors:
Te: 0.000 0.000 0.000
Cu: 0.000 0.500 0.189
Cu: 0.500 0.000 0.189
K: 0.000 0.000 0.500
Cu: 0.000 0.500 0.811
Cu: 0.500 0.000 0.811
S: 0.500 0.500 0.311
S: 0.500 0.500 0.689

Results
VASP energy: -4.005 eV per atom
symmetry: P4/mmm
magnetization: 0.0 μB per formula unit
raw formation energy: -0.39 eV per atom



# K3CuTe3S8

A relaxed K3CuTe3S8 crystal (PBE, Alexandria).

Lattice parameters (Å, degrees): 7.808 8.124 8.822 119.68 90.00 118.72
Sites, in units of the cell vectors:
S: 0.234 0.044 0.336
S: 0.287 0.575 0.735
S: 0.730 0.460 0.699
S: 0.810 0.044 0.336
Te: 0.000 0.500 0.500
K: 0.000 0.500 0.000
S: 0.713 0.425 0.265
S: 0.766 0.956 0.664
K: 0.500 0.500 0.000
Te: 0.500 0.500 0.500
S: 0.270 0.540 0.301
Te: 0.500 0.000 0.500
K: 0.000 0.000 0.000
Cu: 0.000 0.000 0.500
S: 0.190 0.956 0.664

Results
VASP energy: -3.656 eV per atom
symmetry: C2/m
magnetization: 0.0 μB per formula unit
raw formation energy: -0.33 eV per atom



# K4CuTe3S8

A relaxed K4CuTe3S8 crystal (PBE, Alexandria).

Lattice parameters (Å, degrees): 7.694 8.319 9.057 119.06 115.13 90.00
Sites, in units of the cell vectors:
S: 0.275 0.374 0.103
S: 0.777 0.743 0.553
S: 0.283 0.750 0.567
Cu: 0.000 0.500 0.000
S: 0.725 0.626 0.897
S: 0.828 0.374 0.103
S: 0.172 0.626 0.897
S: 0.717 0.250 0.433
K: 0.000 0.000 0.500
S: 0.223 0.257 0.447
K: 0.500 0.000 0.000
K: 0.000 0.000 0.000
Te: 0.500 0.500 0.500
Te: 0.500 0.500 0.000
K: 0.500 0.000 0.500
Te: 0.000 0.500 0.500

Results
VASP energy: -3.630 eV per atom
symmetry: C2/m
magnetization: 0.8 μB per formula unit
raw formation energy: -0.45 eV per atom



# K2Cu2Te2S

A relaxed K2Cu2Te2S crystal (PBE, Alexandria).

Lattice parameters (Å, degrees): 4.598 6.470 8.638 54.24 89.97 69.19
Sites, in units of the cell vectors:
S: 0.000 0.000 0.000
Te: 0.161 0.679 0.598
K: 0.424 0.151 0.162
K: 0.576 0.849 0.838
Cu: 0.195 0.610 0.322
Cu: 0.805 0.390 0.678
Te: 0.839 0.321 0.402

Results
VASP energy: -3.500 eV per atom
symmetry: C2/m
magnetization: 0.0 μB per formula unit
raw formation energy: -0.53 eV per atom



# K2Cu2TeS4

A relaxed K2Cu2TeS4 crystal (PBE, Alexandria).

Lattice parameters (Å, degrees): 3.949 7.568 7.510 109.82 90.00 105.12
Sites, in units of the cell vectors:
S: 0.477 0.953 0.227
Te: 0.000 0.000 0.000
S: 0.523 0.047 0.773
S: 0.198 0.396 0.176
K: 0.862 0.725 0.443
K: 0.138 0.275 0.557
Cu: 0.690 0.381 0.994
Cu: 0.310 0.619 0.006
S: 0.802 0.604 0.824

Results
VASP energy: -3.841 eV per atom
symmetry: C2/m
magnetization: 0.0 μB per formula unit
raw formation energy: -0.50 eV per atom



# K2CuTeS4

A relaxed K2CuTeS4 crystal (PBE, Alexandria).

Lattice parameters (Å, degrees): 5.672 7.582 11.104 84.52 75.20 68.03
Sites, in units of the cell vectors:
Te: 0.750 0.500 0.500
S: 0.910 0.802 0.862
K: 0.187 0.000 0.627
Te: 0.000 0.000 0.000
S: 0.288 0.802 0.138
S: 0.175 0.302 0.362
S: 0.575 0.198 0.138
K: 0.813 0.000 0.373
Cu: 0.500 0.000 0.000
K: 0.563 0.500 0.873
K: 0.937 0.500 0.127
S: 0.228 0.198 0.862
S: 0.462 0.698 0.362
S: 0.522 0.302 0.638
S: 0.840 0.698 0.638
Cu: 0.250 0.500 0.500

Results
VASP energy: -3.671 eV per atom
symmetry: Fddd
magnetization: 0.0 μB per formula unit
raw formation energy: -0.43 eV per atom



# K5CuTeS2

A relaxed K5CuTeS2 crystal (PBE, Alexandria).

Lattice parameters (Å, degrees): 6.015 6.015 10.298 90.00 90.00 90.00
Sites, in units of the cell vectors:
K: 0.500 0.000 0.737
Cu: 0.000 0.000 0.000
K: 0.500 0.000 0.263
K: 0.000 0.500 0.737
S: 0.000 0.000 0.793
K: 0.000 0.500 0.263
K: 0.000 0.000 0.500
Te: 0.500 0.500 0.500
S: 0.000 0.000 0.207

Results
VASP energy: -3.241 eV per atom
symmetry: P4/mmm
magnetization: 0.0 μB per formula unit
raw formation energy: -0.91 eV per atom



# KCuTeS3

A relaxed KCuTeS3 crystal (PBE, Alexandria).

Lattice parameters (Å, degrees): 3.893 7.329 10.305 90.00 90.00 105.40
Sites, in units of the cell vectors:
S: 0.625 0.251 0.445
S: 0.375 0.749 0.555
Cu: 0.540 0.080 0.250
Te: 0.000 0.000 0.500
S: 0.375 0.749 0.945
Cu: 0.460 0.920 0.750
Te: 0.000 0.000 0.000
K: 0.740 0.479 0.750
S: 0.625 0.251 0.055
S: 0.058 0.116 0.750
S: 0.942 0.884 0.250
K: 0.260 0.521 0.250

Results
VASP energy: -3.829 eV per atom
symmetry: Cmcm
magnetization: 0.0 μB per formula unit
raw formation energy: -0.38 eV per atom



# KCu2TeS

A relaxed KCu2TeS crystal (PBE, Alexandria).

Lattice parameters (Å, degrees): 4.634 7.121 7.086 90.00 90.00 108.99
Sites, in units of the cell vectors:
S: 0.000 0.000 0.500
Te: 0.726 0.452 0.750
S: 0.000 0.000 0.000
Cu: 0.162 0.325 0.567
Te: 0.274 0.548 0.250
K: 0.435 0.870 0.750
Cu: 0.162 0.325 0.933
K: 0.565 0.130 0.250
Cu: 0.838 0.675 0.067
Cu: 0.838 0.675 0.433

Results
VASP energy: -3.653 eV per atom
symmetry: Cmcm
magnetization: 0.0 μB per formula unit
raw formation energy: -0.34 eV per atom



# KThCuS3

A relaxed KThCuS3 crystal (PBE, Alexandria).

Lattice parameters (Å, degrees): 4.089 7.379 10.600 90.00 90.00 106.09
Sites, in units of the cell vectors:
Th: 0.000 0.000 0.000
K: 0.255 0.510 0.250
K: 0.745 0.490 0.750
Cu: 0.471 0.941 0.750
S: 0.064 0.129 0.750
S: 0.377 0.754 0.930
S: 0.377 0.754 0.570
S: 0.623 0.246 0.430
Cu: 0.529 0.059 0.250
S: 0.936 0.871 0.250
S: 0.623 0.246 0.070
Th: 0.000 0.000 0.500

Results
VASP energy: -5.645 eV per atom
symmetry: Cmcm
magnetization: 0.0 μB per formula unit
raw formation energy: -1.48 eV per atom



# KTh2CuS5

A relaxed KTh2CuS5 crystal (PBE, Alexandria).

Lattice parameters (Å, degrees): 7.896 7.896 8.795 116.67 116.67 90.00
Sites, in units of the cell vectors:
Th: 0.665 0.165 0.000
S: 0.016 0.516 0.745
S: 0.771 0.984 0.255
S: 0.229 0.016 0.745
S: 0.271 0.771 0.255
Cu: 0.750 0.250 0.500
Th: 0.165 0.335 0.000
S: 0.516 0.729 0.745
S: 0.000 0.000 0.000
S: 0.500 0.500 0.000
Th: 0.335 0.835 0.000
K: 0.250 0.250 0.500
K: 0.750 0.750 0.500
Cu: 0.250 0.750 0.500
S: 0.729 0.229 0.745
Th: 0.835 0.665 0.000
S: 0.984 0.484 0.255
S: 0.484 0.271 0.255

Results
VASP energy: -6.107 eV per atom
symmetry: I4/mcm
magnetization: 0.0 μB per formula unit
raw formation energy: -1.59 eV per atom